Entry 1:
# GGA-PBE CsK2TlBr, optimized geometry
data_CsK2TlBr
_cell_length_a 6.339
_cell_length_b 6.339
_cell_length_c 7.002
_cell_angle_alpha 90.00
_cell_angle_beta 90.00
_cell_angle_gamma 90.00
_symmetry_space_group_name_H-M 'P 4/m m m'
_symmetry_Int_Tables_number 123
_symmetry_space_group_name_Hall '-P 4 2'
loop_
_atom_site_label
_atom_site_type_symbol
_atom_site_fract_x
_atom_site_fract_y
_atom_site_fract_z
_atom_site_occupancy
Cs1 Cs 0.000 0.000 0.000 1
K1 K 0.000 0.500 0.500 1
Tl1 Tl 0.500 0.500 0.000 1
Br1 Br 0.000 0.000 0.500 1
# size of the total moment = 0.00 μB/cell
# formation energy from raw total energies = -0.571 eV per atom

Entry 2:
# GGA-PBE Nd2OsAu, optimized geometry
data_Nd2OsAu
_cell_length_a 3.522
_cell_length_b 3.522
_cell_length_c 7.670
_cell_angle_alpha 90.00
_cell_angle_beta 90.00
_cell_angle_gamma 90.00
_symmetry_space_group_name_H-M 'P 4/m m m'
_symmetry_Int_Tables_number 123
_symmetry_space_group_name_Hall '-P 4 2'
loop_
_atom_site_label
_atom_site_type_symbol
_atom_site_fract_x
_atom_site_fract_y
_atom_site_fract_z
_atom_site_occupancy
Nd1 Nd 0.000 0.000 0.228 1
Os1 Os 0.500 0.500 0.000 1
Au1 Au 0.500 0.500 0.500 1
# size of the total moment = 0.00 μB/cell
# formation enthalpy at 0 K = -34.74 kJ per mole of atoms

Entry 3:
# GGA-PBE LiIn6Pd12, optimized geometry
data_LiIn6Pd12
_cell_length_a 9.9726
_cell_length_b 9.9726
_cell_length_c 11.4750
_cell_angle_alpha 90.00
_cell_angle_beta 90.00
_cell_angle_gamma 120.00
_symmetry_space_group_name_H-M 'R -3'
_symmetry_Int_Tables_number 148
_symmetry_space_group_name_Hall '-R 3'
loop_
_atom_site_label
_atom_site_type_symbol
_atom_site_fract_x
_atom_site_fract_y
_atom_site_fract_z
_atom_site_occupancy
Li1 Li 0.0000 0.0000 0.0000 1
In1 In 0.0150 0.5987 0.7222 1
Pd1 Pd 0.0374 0.8565 0.8331 1
Pd2 Pd 0.0469 0.1918 0.4005 1
# size of the total moment = 0.00 μB/cell
# formation enthalpy at 0 K = -35.51 kJ per mole of atoms

Entry 4:
# GGA-PBE PaP3Pd3, optimized geometry
data_PaP3Pd3
_cell_length_a 6.8730
_cell_length_b 6.8730
_cell_length_c 19.5256
_cell_angle_alpha 90.00
_cell_angle_beta 90.00
_cell_angle_gamma 120.00
_symmetry_space_group_name_H-M 'R -3'
_symmetry_Int_Tables_number 148
_symmetry_space_group_name_Hall '-R 3'
loop_
_atom_site_label
_atom_site_type_symbol
_atom_site_fract_x
_atom_site_fract_y
_atom_site_fract_z
_atom_site_occupancy
Pa1 Pa 0.0000 0.0000 0.1686 1
P1 P 0.0022 0.3541 0.5854 1
Pd1 Pd 0.0037 0.6954 0.6206 1
# size of the total moment = 0.00 μB/cell
# formation enthalpy at 0 K = -65.05 kJ per mole of atoms